<1>
DFT (PBE) results for a geometry-optimized PmThAu structure.

Output
* SG: F-43m
* V: 31.24 Å³/atom

Cell lengths 5.099, 5.099, 5.099 Å; angles 60.00, 60.00, 60.00 degrees
Fractional positions:
Pm 0.000 0.000 0.000
Th 0.500 0.500 0.500
Au 0.250 0.250 0.250

***

<2>
DFT (PBE) results for a geometry-optimized PmThAu structure.

Output
* SG: P3m1
* V: 27.21 Å³/atom

Cell lengths 5.041, 5.041, 3.709 Å; angles 90.00, 90.00, 120.00 degrees
Fractional positions:
Pm 0.000 0.000 0.000
Th 0.333 0.667 0.612
Au 0.667 0.333 0.356

***

Stability check: which of them is least stable? <1>.